[1]
# PBE UNiPdAu, optimized geometry
data_UNiPdAu
_chemical_formula_sum 'U4 Ni4 Pd4 Au4'
_cell_length_a 6.580
_cell_length_b 6.580
_cell_length_c 6.580
_cell_angle_alpha 90.00
_cell_angle_beta 90.00
_cell_angle_gamma 90.00
_space_group_name_H-M_alt 'F -4 3 m'
_space_group_IT_number 216
_space_group_name_Hall 'F -4 2 3'
loop_
_atom_site_label
_atom_site_fract_x
_atom_site_fract_y
_atom_site_fract_z
U1 0.000 0.000 0.000
Ni1 0.250 0.250 0.750
Pd1 0.250 0.250 0.250
Au1 0.000 0.000 0.500
# N(E_F): 1.3880 states/eV per atom
# calculated total energy: -105.08 eV/cell
# magnetization: 7.6 μB/cell

[2]
# PBE Ba2SrSi, optimized geometry
data_Ba2SrSi
_chemical_formula_sum 'Ba4 Sr2 Si2'
_cell_length_a 5.265
_cell_length_b 5.265
_cell_length_c 10.948
_cell_angle_alpha 90.00
_cell_angle_beta 90.00
_cell_angle_gamma 90.00
_space_group_name_H-M_alt 'I -4 m 2'
_space_group_IT_number 119
_space_group_name_Hall 'I -4 -2'
loop_
_atom_site_label
_atom_site_fract_x
_atom_site_fract_y
_atom_site_fract_z
Ba1 0.000 0.000 0.000
Ba2 0.000 0.500 0.250
Sr1 0.000 0.000 0.500
Si1 0.000 0.500 0.750
# N(E_F): 0.9512 states/eV per atom
# magnetization: 0.0 μB/cell
# ΔE_f (raw): 0.29 eV per formula unit

[3]
# PBE Ac2NiGe3Pt4, optimized geometry
data_Ac2NiGe3Pt4
_chemical_formula_sum 'Ac2 Ni1 Ge3 Pt4'
_cell_length_a 4.453
_cell_length_b 4.453
_cell_length_c 10.222
_cell_angle_alpha 90.00
_cell_angle_beta 90.00
_cell_angle_gamma 90.00
_space_group_name_H-M_alt 'P -4 m 2'
_space_group_IT_number 115
_space_group_name_Hall 'P -4 -2'
loop_
_atom_site_label
_atom_site_fract_x
_atom_site_fract_y
_atom_site_fract_z
Ac1 0.000 0.500 0.240
Ni1 0.500 0.500 0.000
Ge1 0.000 0.000 0.000
Ge2 0.000 0.500 0.626
Pt1 0.000 0.000 0.500
Pt2 0.000 0.500 0.873
Pt3 0.500 0.500 0.500
# N(E_F): 0.8662 states/eV per atom
# calculated total energy: -60.48 eV/cell
# magnetization: 0.0 μB/cell

[4]
# PBE Zr2ReNiRh, optimized geometry
data_Zr2ReNiRh
_chemical_formula_sum 'Zr2 Re1 Ni1 Rh1'
_cell_length_a 5.044
_cell_length_b 5.044
_cell_length_c 4.617
_cell_angle_alpha 90.00
_cell_angle_beta 90.00
_cell_angle_gamma 90.00
_space_group_name_H-M_alt 'P 4/m m m'
_space_group_IT_number 123
_space_group_name_Hall '-P 4 2'
loop_
_atom_site_label
_atom_site_fract_x
_atom_site_fract_y
_atom_site_fract_z
Zr1 0.000 0.500 0.000
Re1 0.000 0.000 0.000
Ni1 0.500 0.500 0.500
Rh1 0.000 0.000 0.500
# N(E_F): 1.5958 states/eV per atom
# calculated total energy: -37.78 eV/cell
# magnetization: 0.0 μB/cell

[5]
# PBE Pa5SbSe4, optimized geometry
data_Pa5SbSe4
_chemical_formula_sum 'Pa10 Sb2 Se8'
_cell_length_a 4.045
_cell_length_b 5.858
_cell_length_c 21.060
_cell_angle_alpha 90.00
_cell_angle_beta 90.00
_cell_angle_gamma 90.00
_space_group_name_H-M_alt 'I m m m'
_space_group_IT_number 71
_space_group_name_Hall '-I 2 2'
loop_
_atom_site_label
_atom_site_fract_x
_atom_site_fract_y
_atom_site_fract_z
Pa1 0.000 0.000 0.000
Pa2 0.000 0.000 0.197
Pa3 0.000 0.000 0.390
Sb1 0.000 0.500 0.000
Se1 0.000 0.500 0.206
Se2 0.000 0.500 0.402
# N(E_F): 2.0806 states/eV per atom
# magnetization: 6.2 μB/cell
# ΔE_f (raw): -10.26 eV per formula unit

[6]
# PBE AlReRu2, optimized geometry
data_AlReRu2
_chemical_formula_sum 'Al4 Re4 Ru8'
_cell_length_a 6.128
_cell_length_b 6.128
_cell_length_c 6.128
_cell_angle_alpha 90.00
_cell_angle_beta 90.00
_cell_angle_gamma 90.00
_space_group_name_H-M_alt 'F -4 3 m'
_space_group_IT_number 216
_space_group_name_Hall 'F -4 2 3'
loop_
_atom_site_label
_atom_site_fract_x
_atom_site_fract_y
_atom_site_fract_z
Al1 0.000 0.000 0.000
Re1 0.250 0.250 0.750
Ru1 0.000 0.000 0.500
Ru2 0.250 0.250 0.250
# N(E_F): 1.2430 states/eV per atom
# calculated total energy: -137.97 eV/cell
# magnetization: 6.8 μB/cell

[7]
# PBE SbMoW3, optimized geometry
data_SbMoW3
_chemical_formula_sum 'Sb1 Mo1 W3'
_cell_length_a 4.793
_cell_length_b 4.793
_cell_length_c 4.793
_cell_angle_alpha 90.00
_cell_angle_beta 90.00
_cell_angle_gamma 90.00
_space_group_name_H-M_alt 'P m -3 m'
_space_group_IT_number 221
_space_group_name_Hall '-P 4 2 3'
loop_
_atom_site_label
_atom_site_fract_x
_atom_site_fract_y
_atom_site_fract_z
Sb1 0.000 0.000 0.000
Mo1 0.500 0.500 0.500
W1 0.000 0.500 0.500
# N(E_F): 1.7706 states/eV per atom
# magnetization: 0.0 μB/cell
# ΔE to the lowest computed polymorph: 0 meV per atom
# ΔE_f (raw): 10.08 eV per formula unit

[8]
# PBE YSc4Zn, optimized geometry
data_YSc4Zn
_chemical_formula_sum 'Y4 Sc16 Zn4'
_cell_length_a 8.455
_cell_length_b 8.455
_cell_length_c 8.455
_cell_angle_alpha 90.00
_cell_angle_beta 90.00
_cell_angle_gamma 90.00
_space_group_name_H-M_alt 'F -4 3 m'
_space_group_IT_number 216
_space_group_name_Hall 'F -4 2 3'
loop_
_atom_site_label
_atom_site_fract_x
_atom_site_fract_y
_atom_site_fract_z
Y1 0.000 0.000 0.000
Sc1 0.126 0.126 0.374
Zn1 0.250 0.250 0.750
# N(E_F): 1.1145 states/eV per atom
# calculated total energy: -126.17 eV/cell
# magnetization: 0.0 μB/cell

- Look up the magnetization of the eighth one.
  0.0 μB/cell

- Among the records above, which one has the highest magnetization?
  UNiPdAu